Record 1
ReSbAsI2 | PBE-GGA | relaxed

Lattice parameters (Å, degrees): 5.5259 5.5259 5.6515 90.00 90.00 90.00
With the nearest neighbours (Å) after each atom.
Fractional coordinates of all 5 atoms:
Re 0.0000 0.0000 0.0000  4 Sb 3.91, 8 I 3.95
Sb 0.5000 0.5000 0.0000  2 As 2.83
As 0.5000 0.5000 0.5000  4 I 2.76, 2 Sb 2.83
I 0.0000 0.5000 0.5000  2 As 2.76
I 0.5000 0.0000 0.5000  2 As 2.76

DOS at the Fermi energy = 2.0 states/eV per cell
Formation energy without anion corrections = 1.497 eV/atom
ΔE to the lowest computed polymorph = 452.0 meV/atom
Space-group type = P4/mmm (123)
Total magnetic moment = 4.49 μB/f.u.

=====

Record 2
ReSb2AsI | PBE-GGA | relaxed

Lattice parameters (Å, degrees): 5.0690 5.0690 5.7039 90.00 90.00 90.00
With the nearest neighbours (Å) after each atom.
Fractional coordinates of all 5 atoms:
Re 0.0000 0.0000 0.0000  4 Sb 2.53
Sb 0.0000 0.5000 0.0000  2 Re 2.53
Sb 0.5000 0.0000 0.0000  2 Re 2.53
As 0.5000 0.5000 0.5000  4 I 3.58, 8 Sb 3.82
I 0.0000 0.0000 0.5000  2 Re 2.85

DOS at the Fermi energy = 5.1 states/eV per cell
Formation energy without anion corrections = 0.910 eV/atom
ΔE to the lowest computed polymorph = 0.0 meV/atom
Space-group type = P4/mmm (123)
Total magnetic moment = 0.00 μB/f.u.